# 1
First-principles (GGA-PBE) data for a geometry-optimized Li2SbMo structure, as listed in Alexandria via LeMat-Bulk.

POSCAR file:
```
Li2SbMo
1.0
3.132 0.000 0.000
0.000 4.476 0.000
0.000 0.000 9.851
Li Sb Mo
4 2 2
Cartesian
0.000 0.000 2.423 Li
0.000 0.000 7.427 Li
1.566 2.238 2.502 Li
1.566 2.238 7.349 Li
0.000 2.238 4.925 Sb
1.566 0.000 0.000 Sb
0.000 2.238 0.000 Mo
1.566 0.000 4.925 Mo
```

## Properties
E_form (uncorrected): 90 meV/atom
Volume: 17.261 Å³/atom
DFT total energy: -4.605 eV/atom
Spin magnetization: 0.0 μB per cell

# 2
First-principles (GGA-PBE) data for a geometry-optimized Ce2HO structure, as listed in Alexandria via LeMat-Bulk.

POSCAR file:
```
Ce2HO
1.0
3.062 0.000 0.000
0.000 3.062 0.000
0.000 0.000 6.029
Ce H O
2 1 1
Cartesian
0.000 0.000 1.456 Ce
0.000 0.000 4.573 Ce
1.531 1.531 0.000 H
1.531 1.531 3.014 O
```

## Properties
Volume: 14.128 Å³/atom
DFT total energy: -6.087 eV/atom
Spin magnetization: 0.0 μB per cell
E above lowest polymorph: 509 meV per atom